Computed, not measured: crystalline BaInRu at its relaxed geometry at the PBE-GGA level of DFT.

E_form = 0.1695 eV/atom

abc: 4.610 4.610 4.894
angles: 90.00 90.00 120.00
Fractional coordinates of all 3 atoms:
Ba (0.000, 0.000, 0.000)
In (0.667, 0.333, 0.500)
Ru (0.333, 0.667, 0.500)